Material: MgCdSeO
Method: DFT, PBE
State: relaxed

a b c (Å): 3.803 13.254 5.913
angles (deg): 90.00 90.00 90.00
Fractional positions:
Mg (0.000, 0.055, 0.000)
Mg (0.000, 0.945, 0.500)
Mg (0.500, 0.445, 0.500)
Mg (0.500, 0.555, 0.000)
Cd (0.000, 0.336, 0.103)
Cd (0.000, 0.664, 0.603)
Cd (0.500, 0.164, 0.603)
Cd (0.500, 0.836, 0.103)
Se (0.000, 0.328, 0.643)
Se (0.000, 0.672, 0.143)
Se (0.500, 0.172, 0.143)
Se (0.500, 0.828, 0.643)
O (0.000, 0.068, 0.674)
O (0.000, 0.932, 0.174)
O (0.500, 0.432, 0.174)
O (0.500, 0.568, 0.674)

Values from the calculation:
space-group type = Cmc2_1, No. 36
total energy = -0.29843 Ry per atom
energy above the lowest structure with this stoichiometry = 127.4 meV/atom
volume = 298 Å³ per cell